Compound: SiMo5
Source: Alexandria via LeMat-Bulk
Functional: PBE-GGA
Structure: relaxed

Summary:
ΔE_f (raw) = -60 meV per atom
energy relative to the lowest polymorph listed for this composition = 36 meV/atom
mass density = 9.21 Mg/m³
M_tot = 0.00 μB per formula unit

Structure (CIF):
```
data_SiMo5
_symmetry_space_group_name_H-M 'C m m m'
_symmetry_Int_Tables_number 65
_symmetry_space_group_name_Hall '-C 2 2'
_cell_length_a 4.355
_cell_length_b 13.160
_cell_length_c 3.196
_cell_angle_alpha 90.00
_cell_angle_beta 90.00
_cell_angle_gamma 90.00
loop_
_atom_site_label
_atom_site_fract_x
_atom_site_fract_y
_atom_site_fract_z
_atom_site_occupancy
Si1 0.000 0.000 0.000 1
Mo1 0.000 0.165 0.500 1
Mo2 0.000 0.336 0.000 1
Mo3 0.000 0.500 0.500 1
```